Record 1
Here is a relaxed FeGe2HIr crystal from the Alexandria database. Energies are from GGA-PBE.

Cell: 4.3103 4.3103 3.1605 Å, 90.00 90.00 90.00°
Closest atoms and distances in Å follow each position.
Space group P4/mmm (No. 123)
One atom of each set of equivalent atoms:
Fe 0.0000 0.0000 0.0000 x1  2 H 1.58
Ge 0.0000 0.5000 0.5000 x2  2 H 2.16
H 0.0000 0.0000 0.5000 x1  2 Fe 1.58
Ir 0.5000 0.5000 0.0000 x1  8 Ge 2.67

Summary:
VASP energy = -29.0 eV per formula unit

***

Record 2
Here is a relaxed Ce3CoN crystal from the Alexandria database. Energies are from GGA-PBE.

Cell: 6.9594 3.5544 8.4514 Å, 90.00 102.61 90.00°
Closest atoms and distances in Å follow each position.
Space group P2_1/m (No. 11)
One atom of each set of equivalent atoms:
Ce 0.0895 0.2500 0.3509 x2  3 N 2.43-2.44
Ce 0.2445 0.2500 0.9476 x2  1 N 2.50, 2 Co 2.52
Ce 0.4046 0.7500 0.6509 x2  2 N 2.50
Co 0.3228 0.7500 0.1636 x2  4 Ce 2.52-2.81
N 0.1505 0.2500 0.6450 x2  6 Ce 2.43-2.50

Summary:
raw formation energy = -0.605 eV/atom

***

Record 3
Here is a relaxed Hf2AgF11 crystal from the Alexandria database. Energies are from GGA-PBE.

Cell: 7.8483 10.2295 10.6072 Å, 90.00 90.00 90.00°
Closest atoms and distances in Å follow each position.
Space group Ibam (No. 72)
One atom of each set of equivalent atoms:
Hf 0.0780 0.1937 0.0000 x8  5 F 1.92-2.14
Ag 0.0000 0.5000 0.2500 x4  4 F 1.96
F 0.0000 0.0000 0.0000 x4  2 Hf 2.07
F 0.0176 0.3650 0.1192 x16  1 Ag 1.96
F 0.1737 0.1302 0.1553 x16  1 Hf 1.92
F 0.1854 0.2025 0.5000 x8  2 Hf 2.07-2.14

Summary:
raw formation energy = -2.918 eV/atom

***

Record 4
Here is a relaxed SrAlVBi2 crystal from the Alexandria database. Energies are from GGA-PBE.

Cell: 5.6176 5.6176 4.9548 Å, 90.00 90.00 90.00°
Closest atoms and distances in Å follow each position.
Space group P4/mmm (No. 123)
One atom of each set of equivalent atoms:
Sr 0.0000 0.0000 0.0000 x1  8 Bi 3.75, 4 V 3.97
Al 0.5000 0.5000 0.5000 x1  2 V 2.48
V 0.5000 0.5000 0.0000 x1  2 Al 2.48
Bi 0.0000 0.5000 0.5000 x2  2 Al 2.81

Summary:
VASP energy = -20.8 eV per formula unit

***

Record 5
Here is a relaxed Si3HF crystal from the Alexandria database. Energies are from GGA-PBE.

Cell: 3.9895 3.9895 3.9895 Å, 90.00 90.00 90.00°
Closest atoms and distances in Å follow each position.
Space group Pm-3m (No. 221)
One atom of each set of equivalent atoms:
Si 0.0000 0.0000 0.5000 x3  2 H 1.99
H 0.0000 0.0000 0.0000 x1  6 Si 1.99
F 0.5000 0.5000 0.5000 x1  12 Si 2.82

Summary:
polymorph energy (0 for the lowest one) = 0.000 eV per atom

***

Record 6
Here is a relaxed RbGa2I8 crystal from the Alexandria database. Energies are from GGA-PBE.

Cell: 19.4972 8.0189 7.5131 Å, 90.00 94.09 90.00°
Closest atoms and distances in Å follow each position.
Space group C2/m (No. 12)
One atom of each set of equivalent atoms:
Rb 0.0000 0.0000 0.0000 x2  6 I 3.75-3.92
Ga 0.1676 0.0000 0.6041 x4  4 I 2.58-2.61
I 0.0995 0.2596 0.6928 x8  1 Ga 2.58
I 0.1814 0.0000 0.2614 x4  1 Ga 2.61
I 0.2106 0.5000 0.2344 x4  1 Ga 2.59

Summary:
polymorph energy (0 for the lowest one) = 0.015 eV per atom
raw formation energy = -0.584 eV/atom

***

Record 7
Here is a relaxed SrInSb2 crystal from the Alexandria database. Energies are from GGA-PBE.

Cell: 3.5235 5.8443 5.8471 Å, 90.00 90.01 90.00°
Closest atoms and distances in Å follow each position.
Space group Pm (No. 6)
One atom of each set of equivalent atoms:
Sr 0.0000 0.0000 0.0000 x1  8 Sb 3.41-3.42, 2 Sr 3.52
In 0.9932 0.5000 0.5034 x1  8 Sb 3.40-3.43, 2 In 3.52
Sb 0.5003 0.0000 0.5003 x1  4 In 3.40-3.43, 4 Sr 3.41-3.42, 2 Sb 3.52
Sb 0.5001 0.5000 0.0038 x1  4 In 3.40-3.43, 4 Sr 3.41, 2 Sb 3.52

Summary:
raw formation energy = -0.363 eV/atom

***

Record 8
Here is a relaxed PmNdInGa crystal from the Alexandria database. Energies are from GGA-PBE.

Cell: 7.5578 7.5578 7.5578 Å, 90.00 90.00 90.00°
Closest atoms and distances in Å follow each position.
Space group F-43m (No. 216)
One atom of each set of equivalent atoms:
Pm 0.0000 0.0000 0.0000 x4  4 Ga 3.27, 4 In 3.27
Nd 0.0000 0.0000 0.5000 x4  4 In 3.27, 4 Ga 3.27
In 0.2500 0.2500 0.7500 x4  4 Nd 3.27, 4 Pm 3.27
Ga 0.2500 0.2500 0.2500 x4  4 Nd 3.27, 4 Pm 3.27

Summary:
polymorph energy (0 for the lowest one) = 0.020 eV per atom

***

Record 9
Here is a relaxed SiIN3 crystal from the Alexandria database. Energies are from GGA-PBE.

Cell: 3.9426 3.9426 3.9426 Å, 90.00 90.00 90.00°
Closest atoms and distances in Å follow each position.
Space group Pm-3m (No. 221)
One atom of each set of equivalent atoms:
Si 0.0000 0.0000 0.0000 x1  12 N 2.79
I 0.5000 0.5000 0.5000 x1  6 N 1.97
N 0.0000 0.5000 0.5000 x3  2 I 1.97

Summary:
raw formation energy = 2.313 eV/atom

***

Record 10
Here is a relaxed Ba6Sb2PdBr3 crystal from the Alexandria database. Energies are from GGA-PBE.

Cell: 21.3310 4.9082 9.9266 Å, 90.00 103.52 90.00°
Closest atoms and distances in Å follow each position.
Space group C2/m (No. 12)
One atom of each set of equivalent atoms:
Ba 0.0007 0.0000 0.2284 x4  2 Pd 3.34, 1 Sb 3.39, 3 Br 3.53-3.65
Ba 0.1531 0.5000 0.0887 x4  1 Pd 3.18, 2 Sb 3.41
Ba 0.1703 0.5000 0.5743 x4  3 Sb 3.42-3.44, 3 Br 3.53-3.57
Sb 0.1640 0.0000 0.3314 x4  6 Ba 3.39-3.44
Pd 0.0000 0.5000 0.0000 x2  6 Ba 3.18-3.34
Br 0.0000 0.5000 0.5000 x2  6 Ba 3.53-3.65
Br 0.1690 0.0000 0.8352 x4  6 Ba 3.53-3.69

Summary:
raw formation energy = -1.360 eV/atom

***

Record 11
Here is a relaxed CaIn2Co crystal from the Alexandria database. Energies are from GGA-PBE.

Cell: 4.3686 4.3686 4.5819 Å, 90.00 90.00 90.00°
Closest atoms and distances in Å follow each position.
Space group P4/mmm (No. 123)
One atom of each set of equivalent atoms:
Ca 0.0000 0.0000 0.0000 x1  4 Co 3.09, 8 In 3.17
In 0.0000 0.5000 0.5000 x2  4 In 3.09, 4 Co 3.17, 4 Ca 3.17
Co 0.5000 0.5000 0.0000 x1  4 Ca 3.09, 8 In 3.17

Summary:
VASP energy = -14.2 eV per formula unit

***

Record 12
Here is a relaxed SrCu2Hg2 crystal from the Alexandria database. Energies are from GGA-PBE.

Cell: 4.7688 4.7688 10.2786 Å, 90.00 90.00 90.00°
Closest atoms and distances in Å follow each position.
Space group I4/mmm (No. 139)
One atom of each set of equivalent atoms:
Sr 0.0000 0.0000 0.0000 x2  8 Cu 3.51, 10 Hg 3.67-3.70
Cu 0.0000 0.5000 0.2500 x4  4 Hg 2.64
Hg 0.0000 0.0000 0.3596 x4  4 Cu 2.64, 1 Hg 2.89

Summary:
polymorph energy (0 for the lowest one) = 0.024 eV per atom

***

What did the ninth record say?
Here is a relaxed SiIN3 crystal from the Alexandria database. Energies are from GGA-PBE.

Cell: 3.9426 3.9426 3.9426 Å, 90.00 90.00 90.00°
Closest atoms and distances in Å follow each position.
Space group Pm-3m (No. 221)
One atom of each set of equivalent atoms:
Si 0.0000 0.0000 0.0000 x1  12 N 2.79
I 0.5000 0.5000 0.5000 x1  6 N 1.97
N 0.0000 0.5000 0.5000 x3  2 I 1.97

Summary:
raw formation energy = 2.313 eV/atom